Computed, not measured: an optimized crystal structure of Ca2Ta2FeO8 at the GGA-PBEsol level of DFT.

Values from the calculation:
Crystal system: monoclinic
Formation energy from raw total energies (meV/atom): -2616.5
Space-group type: C2/c, No. 15

Lattice parameters (Å, degrees): 5.3810 6.2575 9.8403 108.54 91.16 90.00
Each line ends with the local moment (μB).
Atoms (fractional coordinates):
Ca: 0.2553 0.4746 0.5852  0.00
Ca: 0.2447 0.8893 0.4148  0.00
Ca: 0.7447 0.5254 0.4148  0.00
Ca: 0.7553 0.1107 0.5852  0.00
Ta: 0.2618 0.2577 0.2216  0.04
Ta: 0.2382 0.0361 0.7784  0.04
Ta: 0.7382 0.7423 0.7784  0.04
Ta: 0.7618 0.9639 0.2216  0.04
Fe: 0.7500 0.3914 0.0000  3.57
Fe: 0.2500 0.6086 0.0000  3.57
O: 0.5998 0.1997 0.1382  0.03
O: 0.9002 0.0614 0.8618  0.03
O: 0.4002 0.8003 0.8618  0.03
O: 0.0998 0.9386 0.1382  0.03
O: 0.0833 0.4077 0.1127  0.08
O: 0.4167 0.2950 0.8873  0.08
O: 0.9167 0.5923 0.8873  0.08
O: 0.5833 0.7050 0.1127  0.08
O: 0.0029 0.2357 0.3632  0.01
O: 0.4971 0.8726 0.6368  0.01
O: 0.5029 0.1274 0.3632  0.01
O: 0.9971 0.7643 0.6368  0.01
O: 0.8404 0.8353 0.3693  0.00
O: 0.6596 0.4660 0.6307  0.00
O: 0.1596 0.1647 0.6307  0.00
O: 0.3404 0.5340 0.3693  0.00